An optimized crystal structure of Cs3NaZn, computed with PBEsol.

Lattice parameters (Å, degrees): 7.0958 7.0958 7.0958 90.00 90.00 90.00
With the nearest neighbours (Å) after each atom.
Element x y z (fractional)
1 Cs 0.0000 0.0000 0.5000  2 Zn 3.55
2 Cs 0.0000 0.5000 0.0000  2 Zn 3.55
3 Cs 0.5000 0.0000 0.0000  2 Zn 3.55
4 Na 0.5000 0.5000 0.5000  12 Cs 5.02
5 Zn 0.0000 0.0000 0.0000  6 Cs 3.55

The value obtained for the total energy is -0.03613 Ha/atom. The value obtained for the spin magnetization is 0.00 μB/f.u. The calculation puts the density at 2.264 g/cm³. The value obtained for the density of states at the Fermi level is 5.59 states/eV/f.u. As for the calculated volume: 71.46 Å³/atom. Its formation energy is 0.1788 eV per atom.